(1)
A plane-wave DFT calculation with PBE-GGA was carried out for Nb2GaW after structural relaxation.

abc: 7.3094 7.3094 5.8586
angles: 51.40 51.40 90.00
Sites, in units of the cell vectors:
Nb 0.1157 0.6250 0.2500
Nb 0.3750 0.3657 0.7500
Nb 0.6343 0.1250 0.2500
Nb 0.8750 0.8843 0.7500
Ga 0.5000 0.5000 0.0000
Ga 0.2500 0.7500 0.5000
W 0.7500 0.2500 0.5000
W 0.0000 0.0000 0.0000

## Properties
crystal system = tetragonal
formation energy = 58 kJ per mole of atoms
total magnetic moment = 0.00 μB/f.u.

=====

(2)
A plane-wave DFT calculation with PBE-GGA was carried out for Nb2GaW after structural relaxation.

abc: 3.3523 3.3523 6.0472
angles: 90.00 90.00 90.00
Sites, in units of the cell vectors:
W 0.5000 0.5000 0.0000
Nb 0.0000 0.0000 0.2498
Nb 0.0000 0.0000 0.7502
Ga 0.5000 0.5000 0.5000

## Properties
crystal system = tetragonal
formation energy = -13 kJ per mole of atoms
total magnetic moment = 0.00 μB/f.u.

=====

(3)
A plane-wave DFT calculation with PBE-GGA was carried out for NbGa2W after structural relaxation.

abc: 4.4852 4.4852 4.4852
angles: 60.00 60.00 60.00
Sites, in units of the cell vectors:
W 0.5000 0.5000 0.5000
Ga 0.2500 0.2500 0.2500
Ga 0.7500 0.7500 0.7500
Nb 0.0000 0.0000 0.0000

## Properties
energy above the lowest structure with this stoichiometry = 0.00 eV/f.u.
crystal system = cubic
formation energy = 18 kJ per mole of atoms
total magnetic moment = 0.00 μB/f.u.

=====

(4)
A plane-wave DFT calculation with PBE-GGA was carried out for Nb2Ga2W after structural relaxation.

abc: 6.8088 6.8088 3.5375
angles: 90.00 90.00 90.00
Sites, in units of the cell vectors:
Nb 0.1750 0.6750 0.5000
Nb 0.8250 0.3250 0.5000
Nb 0.3250 0.1750 0.5000
Nb 0.6750 0.8250 0.5000
Ga 0.6279 0.1279 0.0000
Ga 0.3721 0.8721 0.0000
Ga 0.1279 0.3721 0.0000
Ga 0.8721 0.6279 0.0000
W 0.5000 0.5000 0.0000
W 0.0000 0.0000 0.0000

## Properties
crystal system = tetragonal
formation energy = -22 kJ per mole of atoms
total magnetic moment = 0.00 μB/f.u.